[1]
DFT (PBE) results for a geometry-optimized Tl2TeS2I2 structure.

Values from the calculation:
The total energy comes out at -41.9 eV per cell. The size of the total moment comes out at 0.00 μB/cell.

```
data_Tl2TeS2I2
_symmetry_space_group_name_H-M 'I 4/m m m'
_symmetry_Int_Tables_number 139
_symmetry_space_group_name_Hall '-I 4 2'
_cell_length_a 5.239
_cell_length_b 5.239
_cell_length_c 17.399
_cell_angle_alpha 90.00
_cell_angle_beta 90.00
_cell_angle_gamma 90.00
loop_
_atom_site_label
_atom_site_type_symbol
_atom_site_fract_x
_atom_site_fract_y
_atom_site_fract_z
Tl1 Tl 0.000 0.000 0.115
Te1 Te 0.000 0.000 0.500
S1 S 0.000 0.500 0.000
I1 I 0.000 0.000 0.327
```

***

[2]
DFT (PBE) results for a geometry-optimized CsFeCl2 structure.

Values from the calculation:
The relative energy among the computed polymorphs is 2.163 eV per formula unit. The total energy comes out at -57.2 eV per cell. The size of the total moment comes out at 13.22 μB/cell.

```
data_CsFeCl2
_symmetry_space_group_name_H-M 'F m -3 m'
_symmetry_Int_Tables_number 225
_symmetry_space_group_name_Hall '-F 4 2 3'
_cell_length_a 7.645
_cell_length_b 7.645
_cell_length_c 7.645
_cell_angle_alpha 90.00
_cell_angle_beta 90.00
_cell_angle_gamma 90.00
loop_
_atom_site_label
_atom_site_type_symbol
_atom_site_fract_x
_atom_site_fract_y
_atom_site_fract_z
Cs1 Cs 0.000 0.000 0.000
Fe1 Fe 0.000 0.000 0.500
Cl1 Cl 0.250 0.250 0.250
```

***

[3]
DFT (PBE) results for a geometry-optimized Ac2Sn3AsPt4 structure.

Values from the calculation:
The total energy comes out at -57.9 eV per cell. The size of the total moment comes out at 0.00 μB/cell.

```
data_Ac2Sn3AsPt4
_symmetry_space_group_name_H-M 'P -4 m 2'
_symmetry_Int_Tables_number 115
_symmetry_space_group_name_Hall 'P -4 -2'
_cell_length_a 4.743
_cell_length_b 4.743
_cell_length_c 10.383
_cell_angle_alpha 90.00
_cell_angle_beta 90.00
_cell_angle_gamma 90.00
loop_
_atom_site_label
_atom_site_type_symbol
_atom_site_fract_x
_atom_site_fract_y
_atom_site_fract_z
Ac1 Ac 0.000 0.500 0.249
Sn1 Sn 0.000 0.500 0.873
Sn2 Sn 0.500 0.500 0.500
As1 As 0.000 0.000 0.500
Pt1 Pt 0.000 0.000 0.000
Pt2 Pt 0.000 0.500 0.617
Pt3 Pt 0.500 0.500 0.000
```

***

[4]
DFT (PBE) results for a geometry-optimized Pr4InHgO structure.

Values from the calculation:
The total energy comes out at -136.9 eV per cell. The size of the total moment comes out at 0.00 μB/cell.

```
data_Pr4InHgO
_symmetry_space_group_name_H-M 'C m c m'
_symmetry_Int_Tables_number 63
_symmetry_space_group_name_Hall '-C 2c 2'
_cell_length_a 6.932
_cell_length_b 16.549
_cell_length_c 6.949
_cell_angle_alpha 90.00
_cell_angle_beta 90.00
_cell_angle_gamma 90.00
loop_
_atom_site_label
_atom_site_type_symbol
_atom_site_fract_x
_atom_site_fract_y
_atom_site_fract_z
Pr1 Pr 0.000 0.072 0.250
Pr2 Pr 0.000 0.420 0.250
Pr3 Pr 0.250 0.250 0.000
In1 In 0.000 0.388 0.750
Hg1 Hg 0.000 0.117 0.750
O1 O 0.000 0.250 0.250
```

***

[5]
DFT (PBE) results for a geometry-optimized LiReBr2 structure.

Values from the calculation:
The relative energy among the computed polymorphs is 1.317 eV per formula unit. The total energy comes out at -63.3 eV per cell. The size of the total moment comes out at 0.00 μB/cell.

```
data_LiReBr2
_symmetry_space_group_name_H-M 'I -4 2 d'
_symmetry_Int_Tables_number 122
_symmetry_space_group_name_Hall 'I -4 2bw'
_cell_length_a 6.000
_cell_length_b 6.000
_cell_length_c 10.265
_cell_angle_alpha 90.00
_cell_angle_beta 90.00
_cell_angle_gamma 90.00
loop_
_atom_site_label
_atom_site_type_symbol
_atom_site_fract_x
_atom_site_fract_y
_atom_site_fract_z
Li1 Li 0.000 0.000 0.000
Re1 Re 0.000 0.000 0.500
Br1 Br 0.249 0.250 0.625
```

***

[6]
DFT (PBE) results for a geometry-optimized PmPu2Ru structure.

Values from the calculation:
The relative energy among the computed polymorphs is 0.000 eV per formula unit. The total energy comes out at -171.5 eV per cell. The size of the total moment comes out at 45.46 μB/cell.

```
data_PmPu2Ru
_symmetry_space_group_name_H-M 'C m c m'
_symmetry_Int_Tables_number 63
_symmetry_space_group_name_Hall '-C 2c 2'
_cell_length_a 4.485
_cell_length_b 11.304
_cell_length_c 7.948
_cell_angle_alpha 90.00
_cell_angle_beta 90.00
_cell_angle_gamma 90.00
loop_
_atom_site_label
_atom_site_type_symbol
_atom_site_fract_x
_atom_site_fract_y
_atom_site_fract_z
Pm1 Pm 0.000 0.053 0.250
Pu1 Pu 0.000 0.354 0.063
Ru1 Ru 0.000 0.262 0.750
```